Entry 1:
Below is a geometry-optimized FeNi2Au2 structure, with properties calculated at the PBE level.

Lattice parameters (Å, degrees): 3.7453 3.7453 6.4366 73.09 73.09 90.00
With the nearest neighbours (Å) after each atom.
Fractional coordinates of all 5 atoms:
Fe  0.0000  0.0000  0.0000  8 Ni 2.87
Au  0.7500  0.2500  0.5000  4 Ni 2.62, 4 Au 2.65
Ni  0.5942  0.5942  0.8116  1 Ni 2.21
Ni  0.4058  0.4058  0.1884  1 Ni 2.21
Au  0.2500  0.7500  0.5000  4 Ni 2.62, 4 Au 2.65

## Properties
Crystal system: tetragonal
ΔH_f (0 K), eV per formula unit: 2.81
Calculated density, g cm⁻³: 11.44
Energy relative to the lowest polymorph listed for this composition, kJ per mole of atoms: 35.0
Fermi-level density of states, states/eV per atom: 1.6605
Total magnetization, μB per atom: 0.92

Entry 2:
Below is a geometry-optimized FeNi2Au2 structure, with properties calculated at the PBE level.

Lattice parameters (Å, degrees): 6.1529 6.1529 3.8814 90.00 90.00 90.00
With the nearest neighbours (Å) after each atom.
Fractional coordinates of all 10 atoms:
Au  0.6711  0.8289  0.5000  6 Ni 2.58-2.71
Au  0.1711  0.6711  0.5000  6 Ni 2.58-2.71
Au  0.8289  0.3289  0.5000  6 Ni 2.58-2.71
Ni  0.1329  0.3671  0.0000  1 Ni 2.31, 2 Fe 2.40, 2 Au 2.58
Ni  0.3671  0.8671  0.0000  1 Ni 2.31, 2 Fe 2.40, 2 Au 2.58
Ni  0.8671  0.6329  0.0000  1 Ni 2.31, 2 Fe 2.40, 2 Au 2.58
Au  0.3289  0.1711  0.5000  6 Ni 2.58-2.71
Fe  0.5000  0.5000  0.0000  4 Ni 2.40
Ni  0.6329  0.1329  0.0000  1 Ni 2.31, 2 Fe 2.40, 2 Au 2.58
Fe  0.0000  0.0000  0.0000  4 Ni 2.40

## Properties
Crystal system: tetragonal
ΔH_f (0 K), eV per formula unit: 1.00
Calculated density, g cm⁻³: 12.82
Energy relative to the lowest polymorph listed for this composition, kJ per mole of atoms: 0.0
Fermi-level density of states, states/eV per atom: 0.6893
Total magnetization, μB per atom: 0.84

Entry 3:
Below is a geometry-optimized FeNiAu4 structure, with properties calculated at the PBE level.

Lattice parameters (Å, degrees): 5.3872 5.3872 5.3872 60.00 60.00 60.00
With the nearest neighbours (Å) after each atom.
Fractional coordinates of all 6 atoms:
Au  0.3750  0.3750  0.3750  6 Au 2.69
Ni  0.0000  0.0000  0.0000  12 Au 3.16, 4 Fe 3.30
Au  0.3750  0.3750  0.8751  6 Au 2.69
Fe  0.7500  0.7500  0.7500  12 Au 3.16, 4 Ni 3.30
Au  0.3750  0.8751  0.3750  6 Au 2.69
Au  0.8751  0.3750  0.3750  6 Au 2.69

## Properties
Crystal system: cubic
ΔH_f (0 K), eV per formula unit: 3.14
Calculated density, g cm⁻³: 13.55
Fermi-level density of states, states/eV per atom: 0.8046
Total magnetization, μB per atom: 0.69

Entry 4:
Below is a geometry-optimized FeNi2Au structure, with properties calculated at the PBE level.

Lattice parameters (Å, degrees): 4.4584 4.4584 2.7516 90.00 90.00 106.40
With the nearest neighbours (Å) after each atom.
Fractional coordinates of all 4 atoms:
Ni  0.5000  0.5000  0.0000  4 Au 2.62, 4 Fe 2.62, 4 Ni 2.67-2.75
Fe  0.0000  0.5000  0.5000  8 Ni 2.62, 2 Au 2.67, 2 Fe 2.75
Ni  0.0000  0.0000  0.0000  4 Fe 2.62, 4 Au 2.62, 4 Ni 2.67-2.75
Au  0.5000  0.0000  0.5000  8 Ni 2.62, 2 Fe 2.67, 2 Au 2.75

## Properties
Crystal system: orthorhombic
ΔH_f (0 K), eV per formula unit: 0.45
Calculated density, g cm⁻³: 11.72
Fermi-level density of states, states/eV per atom: 1.0148
Total magnetization, μB per atom: 1.00

Entry 5:
Below is a geometry-optimized FeNi2Au structure, with properties calculated at the PBE level.

Lattice parameters (Å, degrees): 4.2001 4.2001 4.2001 60.00 60.00 60.00
With the nearest neighbours (Å) after each atom.
Fractional coordinates of all 4 atoms:
Ni  0.7500  0.7500  0.7500  4 Fe 2.57, 4 Au 2.57
Au  0.5000  0.5000  0.5000  8 Ni 2.57
Ni  0.2500  0.2500  0.2500  4 Au 2.57, 4 Fe 2.57
Fe  0.0000  0.0000  0.0000  8 Ni 2.57

## Properties
Crystal system: cubic
ΔH_f (0 K), eV per formula unit: 0.35
Calculated density, g cm⁻³: 11.73
Fermi-level density of states, states/eV per atom: 1.1281
Total magnetization, μB per atom: 1.02

Entry 6:
Below is a geometry-optimized Fe2Ni6Au structure, with properties calculated at the PBE level.

Lattice parameters (Å, degrees): 3.6120 4.4273 7.7259 106.35 90.00 114.07
With the nearest neighbours (Å) after each atom.
Fractional coordinates of all 9 atoms:
Ni  0.9961  0.9922  0.1570  8 Ni 2.45-2.55, 3 Fe 2.49-2.58, 1 Au 2.64
Au  0.0000  0.0000  0.5000  8 Ni 2.59-2.64, 4 Fe 2.67
Ni  0.6639  0.3278  0.3746  5 Ni 2.50-2.70, 4 Fe 2.51-2.78, 3 Au 2.59-2.60
Ni  0.0039  0.0078  0.8430  8 Ni 2.45-2.55, 3 Fe 2.49-2.58, 1 Au 2.64
Fe  0.6807  0.3613  0.7395  9 Ni 2.46-2.65, 2 Au 2.67
Ni  0.3361  0.6722  0.6254  5 Ni 2.50-2.70, 4 Fe 2.51-2.78, 3 Au 2.59-2.60
Ni  0.6646  0.3293  0.0518  3 Fe 2.46-2.49, 9 Ni 2.50-2.55
Fe  0.3193  0.6387  0.2605  9 Ni 2.46-2.65, 2 Au 2.67
Ni  0.3354  0.6707  0.9482  3 Fe 2.46-2.49, 9 Ni 2.50-2.55

## Properties
Crystal system: monoclinic
ΔH_f (0 K), eV per formula unit: -0.03
Calculated density, g cm⁻³: 10.23
Fermi-level density of states, states/eV per atom: 1.0676
Total magnetization, μB per atom: 1.00

Entry 7:
Below is a geometry-optimized Fe2NiAu2 structure, with properties calculated at the PBE level.

Lattice parameters (Å, degrees): 6.1559 6.1559 3.9977 90.00 90.00 90.00
With the nearest neighbours (Å) after each atom.
Fractional coordinates of all 10 atoms:
Au  0.3313  0.1687  0.5000  6 Fe 2.64-2.74, 1 Au 2.94
Fe  0.8663  0.6337  0.0000  1 Fe 2.33, 2 Ni 2.40
Au  0.1687  0.6687  0.5000  6 Fe 2.64-2.74, 1 Au 2.94
Fe  0.6337  0.1337  0.0000  1 Fe 2.33, 2 Ni 2.40
Fe  0.3663  0.8663  0.0000  1 Fe 2.33, 2 Ni 2.40
Ni  0.0000  0.0000  0.0000  4 Fe 2.40
Au  0.8313  0.3313  0.5000  6 Fe 2.64-2.74, 1 Au 2.94
Au  0.6687  0.8313  0.5000  6 Fe 2.64-2.74, 1 Au 2.94
Fe  0.1337  0.3663  0.0000  1 Fe 2.33, 2 Ni 2.40
Ni  0.5000  0.5000  0.0000  4 Fe 2.40

## Properties
Crystal system: tetragonal
ΔH_f (0 K), eV per formula unit: 1.70
Calculated density, g cm⁻³: 12.37
Fermi-level density of states, states/eV per atom: 1.1389
Total magnetization, μB per atom: 1.33

Entry 8:
Below is a geometry-optimized FeNi2Au structure, with properties calculated at the PBE level.

Lattice parameters (Å, degrees): 8.6910 8.6910 8.6910 17.69 17.69 17.69
With the nearest neighbours (Å) after each atom.
Fractional coordinates of all 4 atoms:
Ni  0.4925  0.4925  0.4925  3 Fe 2.48, 6 Ni 2.67
Fe  0.7500  0.7500  0.7500  6 Ni 2.48, 6 Fe 2.67
Au  0.2500  0.2500  0.2500  6 Au 2.67, 6 Ni 2.80
Ni  0.0075  0.0075  0.0075  3 Fe 2.48, 6 Ni 2.67

## Properties
Crystal system: trigonal
ΔH_f (0 K), eV per formula unit: 0.44
Calculated density, g cm⁻³: 11.62
Fermi-level density of states, states/eV per atom: 0.5149
Total magnetization, μB per atom: 0.95

Entry 9:
Below is a geometry-optimized FeNi2Au structure, with properties calculated at the PBE level.

Lattice parameters (Å, degrees): 4.6059 4.6059 4.6059 132.60 132.63 69.26
With the nearest neighbours (Å) after each atom.
Fractional coordinates of all 4 atoms:
Fe  0.2501  0.7501  0.5000  8 Ni 2.62-2.65, 4 Au 2.65
Au  0.5000  0.5000  0.0000  8 Ni 2.62-2.65, 4 Fe 2.65
Ni  0.7499  0.2499  0.5000  4 Fe 2.62, 4 Ni 2.65, 4 Au 2.65
Ni  0.0000  0.0000  0.0000  4 Au 2.62, 4 Ni 2.65, 4 Fe 2.65

## Properties
Crystal system: tetragonal
ΔH_f (0 K), eV per formula unit: 0.17
Calculated density, g cm⁻³: 11.84
Fermi-level density of states, states/eV per atom: 0.8914
Total magnetization, μB per atom: 1.01

Entry 10:
Below is a geometry-optimized FeNi2Au structure, with properties calculated at the PBE level.

Lattice parameters (Å, degrees): 3.6090 2.6926 6.0171 63.35 90.00 90.00
With the nearest neighbours (Å) after each atom.
Fractional coordinates of all 4 atoms:
Ni  0.5000  0.2767  0.2233  1 Fe 2.37, 4 Ni 2.56
Ni  0.0000  0.0024  0.9974  4 Fe 2.53, 6 Ni 2.56-2.69, 2 Au 2.68-2.70
Fe  0.5000  0.7168  0.7835  5 Ni 2.37-2.53
Au  0.0000  0.5042  0.4958  6 Ni 2.68-2.70, 2 Au 2.69, 4 Fe 2.73

## Properties
Crystal system: orthorhombic
ΔH_f (0 K), eV per formula unit: 0.24
Calculated density, g cm⁻³: 11.76
Fermi-level density of states, states/eV per atom: 0.9330
Total magnetization, μB per atom: 1.03

What did the second record say?
Below is a geometry-optimized FeNi2Au2 structure, with properties calculated at the PBE level.

Lattice parameters (Å, degrees): 6.1529 6.1529 3.8814 90.00 90.00 90.00
With the nearest neighbours (Å) after each atom.
Fractional coordinates of all 10 atoms:
Au  0.6711  0.8289  0.5000  6 Ni 2.58-2.71
Au  0.1711  0.6711  0.5000  6 Ni 2.58-2.71
Au  0.8289  0.3289  0.5000  6 Ni 2.58-2.71
Ni  0.1329  0.3671  0.0000  1 Ni 2.31, 2 Fe 2.40, 2 Au 2.58
Ni  0.3671  0.8671  0.0000  1 Ni 2.31, 2 Fe 2.40, 2 Au 2.58
Ni  0.8671  0.6329  0.0000  1 Ni 2.31, 2 Fe 2.40, 2 Au 2.58
Au  0.3289  0.1711  0.5000  6 Ni 2.58-2.71
Fe  0.5000  0.5000  0.0000  4 Ni 2.40
Ni  0.6329  0.1329  0.0000  1 Ni 2.31, 2 Fe 2.40, 2 Au 2.58
Fe  0.0000  0.0000  0.0000  4 Ni 2.40

## Properties
Crystal system: tetragonal
ΔH_f (0 K), eV per formula unit: 1.00
Calculated density, g cm⁻³: 12.82
Energy relative to the lowest polymorph listed for this composition, kJ per mole of atoms: 0.0
Fermi-level density of states, states/eV per atom: 0.6893
Total magnetization, μB per atom: 0.84